Entry 1:
Computed, not measured: Sm2Cd3Pd2 after structural relaxation at the GGA-PBE level of DFT.

Output
formation energy from the elements: -554 meV per atom
polymorph energy (0 for the lowest one): 0.25 eV per formula unit

Cell lengths 5.566, 5.566, 7.768 Å; angles 94.32, 94.32, 42.31 degrees
Positions (direct):
Sm1 0.124 0.124 0.347
Sm2 0.876 0.876 0.653
Cd1 0.187 0.187 0.871
Cd2 0.500 0.500 0.000
Cd3 0.813 0.813 0.129
Pd1 0.408 0.408 0.361
Pd2 0.592 0.592 0.639



Entry 2:
Computed, not measured: Sm2Cd3Pd after structural relaxation at the GGA-PBE level of DFT.

Output
formation energy from the elements: -450 meV per atom

Cell lengths 3.521, 4.868, 8.537 Å; angles 90.00, 90.00, 90.00 degrees
Positions (direct):
Sm1 0.000 0.000 0.000
Sm2 0.000 0.500 0.442
Cd1 0.500 0.000 0.628
Cd2 0.500 0.500 0.132
Cd3 0.500 0.500 0.797
Pd1 0.500 0.000 0.299



Entry 3:
Computed, not measured: SmCd2Pd3 after structural relaxation at the GGA-PBE level of DFT.

Output
formation energy from the elements: -572 meV per atom
polymorph energy (0 for the lowest one): 0.00 eV per formula unit

Cell lengths 4.780, 4.780, 11.723 Å; angles 90.00, 90.00, 120.00 degrees
Positions (direct):
Sm1 0.333 0.667 0.171
Sm2 0.667 0.333 0.829
Cd1 0.000 0.000 0.000
Cd2 0.000 0.000 0.500
Cd3 0.333 0.667 0.662
Cd4 0.667 0.333 0.338
Pd1 0.000 0.000 0.263
Pd2 0.000 0.000 0.737
Pd3 0.333 0.667 0.421
Pd4 0.333 0.667 0.917
Pd5 0.667 0.333 0.083
Pd6 0.667 0.333 0.579



Entry 4:
Computed, not measured: SmCd9Pd2 after structural relaxation at the GGA-PBE level of DFT.

Output
formation energy from the elements: -238 meV per atom

Cell lengths 9.102, 9.102, 9.102 Å; angles 99.88, 99.88, 131.05 degrees
Positions (direct):
Sm1 0.375 0.625 0.750
Sm2 0.625 0.375 0.250
Cd1 0.125 0.875 0.250
Cd2 0.126 0.557 0.328
Cd3 0.126 0.798 0.569
Cd4 0.202 0.271 0.328
Cd5 0.202 0.874 0.931
Cd6 0.271 0.202 0.828
Cd7 0.271 0.443 0.069
Cd8 0.443 0.271 0.569
Cd9 0.443 0.874 0.172
Cd10 0.557 0.126 0.828
Cd11 0.557 0.729 0.431
Cd12 0.729 0.557 0.931
Cd13 0.729 0.798 0.172
Cd14 0.798 0.126 0.069
Cd15 0.798 0.729 0.672
Cd16 0.874 0.202 0.431
Cd17 0.874 0.443 0.672
Cd18 0.875 0.125 0.750
Pd1 0.000 0.000 0.000
Pd2 0.000 0.000 0.500
Pd3 0.000 0.500 0.000
Pd4 0.500 0.000 0.500



Entry 5:
Computed, not measured: SmCd10Pd2 after structural relaxation at the GGA-PBE level of DFT.

Output
formation energy from the elements: -221 meV per atom

Cell lengths 9.972, 7.642, 7.553 Å; angles 82.03, 49.37, 48.60 degrees
Positions (direct):
Sm1 0.000 0.000 0.000
Cd1 0.000 0.500 0.000
Cd2 0.017 0.656 0.344
Cd3 0.288 0.508 0.492
Cd4 0.344 0.983 0.017
Cd5 0.492 0.712 0.288
Cd6 0.500 0.000 0.500
Cd7 0.508 0.288 0.712
Cd8 0.656 0.017 0.983
Cd9 0.712 0.492 0.508
Cd10 0.983 0.344 0.656
Pd1 0.000 0.000 0.500
Pd2 0.500 0.500 0.000



Entry 6:
Computed, not measured: SmCd11Pd after structural relaxation at the GGA-PBE level of DFT.

Output
formation energy from the elements: -171 meV per atom

Cell lengths 7.645, 7.645, 7.602 Å; angles 98.13, 98.13, 135.73 degrees
Positions (direct):
Sm1 0.000 0.000 0.000
Cd1 0.000 0.000 0.500
Cd2 0.000 0.500 0.000
Cd3 0.020 0.361 0.356
Cd4 0.297 0.505 0.785
Cd5 0.361 0.020 0.356
Cd6 0.495 0.703 0.215
Cd7 0.500 0.000 0.000
Cd8 0.505 0.297 0.785
Cd9 0.639 0.980 0.644
Cd10 0.703 0.495 0.215
Cd11 0.980 0.639 0.644
Pd1 0.500 0.500 0.500



Entry 7:
Computed, not measured: Sm12CdPd6 after structural relaxation at the GGA-PBE level of DFT.

Output
formation energy from the elements: -535 meV per atom
polymorph energy (0 for the lowest one): 0.00 eV per formula unit

Cell lengths 8.812, 8.812, 8.812 Å; angles 109.47, 109.47, 109.47 degrees
Positions (direct):
Sm1 0.115 0.298 0.817
Sm2 0.183 0.482 0.298
Sm3 0.183 0.885 0.702
Sm4 0.298 0.183 0.482
Sm5 0.298 0.817 0.115
Sm6 0.482 0.298 0.183
Sm7 0.518 0.702 0.817
Sm8 0.702 0.183 0.885
Sm9 0.702 0.817 0.518
Sm10 0.817 0.115 0.298
Sm11 0.817 0.518 0.702
Sm12 0.885 0.702 0.183
Cd1 0.000 0.000 0.000
Pd1 0.135 0.500 0.635
Pd2 0.365 0.865 0.500
Pd3 0.500 0.365 0.865
Pd4 0.500 0.635 0.135
Pd5 0.635 0.135 0.500
Pd6 0.865 0.500 0.365



Entry 8:
Computed, not measured: Sm4CdPd2 after structural relaxation at the GGA-PBE level of DFT.

Output
formation energy from the elements: -408 meV per atom

Cell lengths 10.018, 10.018, 10.018 Å; angles 28.24, 28.24, 28.24 degrees
Positions (direct):
Sm1 0.115 0.115 0.115
Sm2 0.296 0.296 0.296
Sm3 0.704 0.704 0.704
Sm4 0.885 0.885 0.885
Cd1 0.500 0.500 0.500
Pd1 0.401 0.401 0.401
Pd2 0.599 0.599 0.599



Entry 9:
Computed, not measured: SmCd2Pd3 after structural relaxation at the GGA-PBE level of DFT.

Output
formation energy from the elements: -565 meV per atom
polymorph energy (0 for the lowest one): 0.05 eV per formula unit

Cell lengths 4.817, 4.817, 5.759 Å; angles 90.00, 90.00, 120.00 degrees
Positions (direct):
Sm1 0.000 0.000 0.000
Cd1 0.333 0.667 0.677
Cd2 0.667 0.333 0.323
Pd1 0.000 0.000 0.500
Pd2 0.333 0.667 0.197
Pd3 0.667 0.333 0.803



Entry 10:
Computed, not measured: SmCd2Pd5 after structural relaxation at the GGA-PBE level of DFT.

Output
formation energy from the elements: -576 meV per atom

Cell lengths 8.516, 8.516, 4.239 Å; angles 104.34, 104.34, 28.82 degrees
Positions (direct):
Sm1 0.000 0.000 0.000
Cd1 0.252 0.252 0.252
Cd2 0.748 0.748 0.748
Pd1 0.130 0.130 0.630
Pd2 0.370 0.370 0.870
Pd3 0.500 0.500 0.500
Pd4 0.630 0.630 0.130
Pd5 0.870 0.870 0.370



Entry 11:
Computed, not measured: SmCd3Pd2 after structural relaxation at the GGA-PBE level of DFT.

Output
formation energy from the elements: -415 meV per atom

Cell lengths 9.733, 9.733, 10.810 Å; angles 105.71, 105.71, 23.71 degrees
Positions (direct):
Sm1 0.000 0.000 0.000
Sm2 0.153 0.153 0.717
Sm3 0.847 0.847 0.283
Cd1 0.048 0.048 0.341
Cd2 0.212 0.212 0.406
Cd3 0.326 0.326 0.023
Cd4 0.376 0.376 0.791
Cd5 0.500 0.500 0.500
Cd6 0.624 0.624 0.209
Cd7 0.674 0.674 0.977
Cd8 0.788 0.788 0.594
Cd9 0.952 0.952 0.659
Pd1 0.224 0.224 0.163
Pd2 0.361 0.361 0.495
Pd3 0.465 0.465 0.190
Pd4 0.535 0.535 0.810
Pd5 0.639 0.639 0.505
Pd6 0.776 0.776 0.837



Entry 12:
Computed, not measured: SmCd4Pd7 after structural relaxation at the GGA-PBE level of DFT.

Output
formation energy from the elements: -286 meV per atom

Cell lengths 5.906, 5.906, 10.039 Å; angles 117.61, 117.61, 50.97 degrees
Positions (direct):
Sm1 0.000 0.000 0.000
Cd1 0.253 0.253 0.670
Cd2 0.416 0.416 0.231
Cd3 0.584 0.584 0.769
Cd4 0.747 0.747 0.330
Pd1 0.052 0.052 0.350
Pd2 0.216 0.216 0.919
Pd3 0.352 0.352 0.465
Pd4 0.500 0.500 0.000
Pd5 0.648 0.648 0.535
Pd6 0.784 0.784 0.081
Pd7 0.948 0.948 0.650